*one*
This record from OQMD via LeMat-Bulk describes a relaxed structure of Ba2FeOsS6. The functional is PBE.

Cell lengths 6.6715, 6.6715, 6.6715 Å; angles 120.00, 120.00, 60.00 degrees
Last column: nearest neighbours and their distance in Å.
Atoms (fractional coordinates):
Ba  0.7500  0.7500  0.2500  12 S 3.34
Ba  0.2500  0.2500  0.7500  12 S 3.34
Fe  0.5000  0.5000  0.5000  6 S 2.33
Os  0.0000  0.0000  0.0000  6 S 2.38
S  0.7475  0.2525  0.2525  1 Fe 2.33, 1 Os 2.38
S  0.2525  0.7475  0.2525  1 Fe 2.33, 1 Os 2.38
S  0.2525  0.2525  0.2525  1 Fe 2.33, 1 Os 2.38
S  0.7475  0.2525  0.7475  1 Fe 2.33, 1 Os 2.38
S  0.2525  0.7475  0.7475  1 Fe 2.33, 1 Os 2.38
S  0.7475  0.7475  0.7475  1 Fe 2.33, 1 Os 2.38

Computed properties:
As for the symmetry: Fm-3m, No. 225. For the volume, the calculation gives 21.00 Å³/atom.

*two*
This record from OQMD via LeMat-Bulk describes a relaxed structure of Ba2FeOsS6. The functional is PBE.

Cell lengths 6.2626, 6.2637, 7.1920 Å; angles 64.19, 64.27, 90.00 degrees
Last column: nearest neighbours and their distance in Å.
Atoms (fractional coordinates):
Ba  0.7500  0.2503  0.0000  8 S 3.15-3.23
Ba  0.2500  0.7497  0.0000  8 S 3.15-3.23
Fe  0.5000  0.5000  0.5000  4 S 2.25
Os  0.0000  0.0000  0.5000  6 S 2.38-2.46
S  0.2170  0.2166  0.0659  1 Os 2.46
S  0.8195  0.3348  0.4996  1 Fe 2.25, 1 Os 2.38
S  0.3348  0.1808  0.4998  1 Fe 2.25, 1 Os 2.38
S  0.6652  0.8192  0.5002  1 Fe 2.25, 1 Os 2.38
S  0.1805  0.6652  0.5004  1 Fe 2.25, 1 Os 2.38
S  0.7830  0.7834  0.9341  1 Os 2.46

Computed properties:
As for the symmetry: P-1, No. 2. For the volume, the calculation gives 22.25 Å³/atom.

The energy of each structure relative to the most stable one, in kJ/mol of atoms, is as follows: *one* 3.6; *two* 0.0.

*one*
This record from OQMD via LeMat-Bulk describes a relaxed structure of Ba2FeSe3. The functional is PBE.

Cell lengths 9.1061, 4.4920, 17.7857 Å; angles 90.00, 90.00, 90.00 degrees
Last column: nearest neighbours and their distance in Å.
Atoms (fractional coordinates):
Ba  0.7416  0.7500  0.0449  7 Se 3.24-3.58
Ba  0.0895  0.2500  0.2110  7 Se 3.30-3.40, 2 Fe 3.64
Ba  0.5895  0.2500  0.2890  7 Se 3.30-3.40, 2 Fe 3.64
Ba  0.2416  0.7500  0.4551  7 Se 3.24-3.58
Ba  0.7584  0.2500  0.5449  7 Se 3.24-3.58
Ba  0.4105  0.7500  0.7110  7 Se 3.30-3.40, 2 Fe 3.64
Ba  0.9105  0.7500  0.7890  7 Se 3.30-3.40, 2 Fe 3.64
Ba  0.2584  0.2500  0.9551  7 Se 3.24-3.58
Fe  0.3675  0.7500  0.1354  4 Se 2.44-2.56
Fe  0.8675  0.7500  0.3646  4 Se 2.44-2.56
Fe  0.1325  0.2500  0.6354  4 Se 2.44-2.56
Fe  0.6325  0.2500  0.8646  4 Se 2.44-2.56
Se  0.1323  0.7500  0.0697  1 Fe 2.44
Se  0.4887  0.2500  0.1050  2 Fe 2.56
Se  0.8263  0.7500  0.2281  1 Fe 2.46
Se  0.3263  0.7500  0.2719  1 Fe 2.46
Se  0.9887  0.2500  0.3950  2 Fe 2.56
Se  0.6323  0.7500  0.4303  1 Fe 2.44
Se  0.3677  0.2500  0.5697  1 Fe 2.44
Se  0.0113  0.7500  0.6050  2 Fe 2.56
Se  0.6737  0.2500  0.7281  1 Fe 2.46
Se  0.1737  0.2500  0.7719  1 Fe 2.46
Se  0.5113  0.7500  0.8950  2 Fe 2.56
Se  0.8677  0.2500  0.9303  1 Fe 2.44

Computed properties:
As for the symmetry: Pnma, No. 62. For the volume, the calculation gives 30.31 Å³/atom.

*two*
This record from OQMD via LeMat-Bulk describes a relaxed structure of Ba2FeSe3. The functional is PBE.

Cell lengths 12.6294, 4.4450, 12.9320 Å; angles 90.00, 90.00, 90.00 degrees
Last column: nearest neighbours and their distance in Å.
Atoms (fractional coordinates):
Ba  0.3229  0.2500  0.0202  7 Se 3.36-3.41, 2 Fe 3.68
Ba  0.0108  0.7500  0.1765  7 Se 3.28-3.36
Ba  0.5108  0.7500  0.3235  7 Se 3.28-3.36
Ba  0.8229  0.2500  0.4798  7 Se 3.36-3.41, 2 Fe 3.68
Ba  0.1771  0.7500  0.5202  7 Se 3.36-3.41, 2 Fe 3.68
Ba  0.4892  0.2500  0.6765  7 Se 3.28-3.36
Ba  0.9892  0.2500  0.8235  7 Se 3.28-3.36
Ba  0.6771  0.7500  0.9798  7 Se 3.36-3.41, 2 Fe 3.68
Fe  0.7436  0.2500  0.1972  4 Se 2.42-2.54
Fe  0.2436  0.2500  0.3028  4 Se 2.42-2.54
Fe  0.7564  0.7500  0.6972  4 Se 2.42-2.54
Fe  0.2564  0.7500  0.8028  4 Se 2.42-2.54
Se  0.8669  0.2500  0.0539  1 Fe 2.42
Se  0.5603  0.2500  0.1383  1 Fe 2.44
Se  0.2733  0.7500  0.2120  2 Fe 2.54
Se  0.7733  0.7500  0.2880  2 Fe 2.54
Se  0.0603  0.2500  0.3617  1 Fe 2.44
Se  0.3669  0.2500  0.4461  1 Fe 2.42
Se  0.6331  0.7500  0.5539  1 Fe 2.42
Se  0.9397  0.7500  0.6383  1 Fe 2.44
Se  0.2267  0.2500  0.7120  2 Fe 2.54
Se  0.7267  0.2500  0.7880  2 Fe 2.54
Se  0.4397  0.7500  0.8617  1 Fe 2.44
Se  0.1331  0.7500  0.9461  1 Fe 2.42

Computed properties:
As for the symmetry: Pnma, No. 62. For the volume, the calculation gives 30.25 Å³/atom.

The energy of each structure relative to the most stable one, in kJ/mol of atoms, is as follows: *one* 0.6; *two* 0.0.

*one*
This record from OQMD via LeMat-Bulk describes a relaxed structure of BaMgGa2Ir. The functional is PBE.

Cell lengths 4.8942, 4.8942, 5.0676 Å; angles 90.00, 90.00, 90.00 degrees
Last column: nearest neighbours and their distance in Å.
Atoms (fractional coordinates):
Ba  0.5000  0.5000  0.5000  4 Mg 3.46, 8 Ga 3.52
Ga  0.5000  0.0000  0.0000  2 Ir 2.45
Ga  0.0000  0.5000  0.0000  2 Ir 2.45
Ir  0.0000  0.0000  0.0000  4 Ga 2.45, 2 Mg 2.53
Mg  0.0000  0.0000  0.5000  2 Ir 2.53

Computed properties:
As for the symmetry: P4/mmm, No. 123. For the volume, the calculation gives 24.28 Å³/atom.

*two*
This record from OQMD via LeMat-Bulk describes a relaxed structure of BaMgGa2Ir. The functional is PBE.

Cell lengths 6.8680, 6.8680, 6.8680 Å; angles 143.63, 143.63, 52.38 degrees
Last column: nearest neighbours and their distance in Å.
Atoms (fractional coordinates):
Ba  0.0000  0.0000  0.0000  8 Ga 3.43, 4 Ir 3.75, 4 Mg 3.75
Ga  0.3695  0.3695  0.0000  2 Mg 2.60, 2 Ir 2.60
Ga  0.6305  0.6305  0.0000  2 Mg 2.60, 2 Ir 2.60
Ir  0.2500  0.7500  0.5000  4 Ga 2.60
Mg  0.7500  0.2500  0.5000  4 Ga 2.60

Computed properties:
As for the symmetry: I-4m2, No. 119. For the volume, the calculation gives 22.65 Å³/atom.

The energy of each structure relative to the most stable one, in kJ/mol of atoms, is as follows: *one* 0.0; *two* 14.9.